TlZnNi PBE relaxed; ΔH_f (0 K) = 0.16 eV/atom; distance to the lowest polymorph of the same formula = 0 meV per atom; size of the total moment = 0.00 μB per formula unit; final energy = -2.99 eV per atom; V = 55.95 Å³ per cell
1.0
0.000 3.036 3.036
3.036 0.000 3.036
3.036 3.036 0.000
Tl Zn Ni
1 1 1
Direct
0.000 0.000 0.000
0.500 0.500 0.500
0.750 0.750 0.750